First-principles (PBE-GGA) data for TlHg2AuS4 after structural relaxation, as listed in the Alexandria database.

Calculated values
- Uncorrected energy: -2.9196 eV per atom
- Energy relative to the elements, uncorrected: -1.7 kcal/mol of atoms
- Fermi-level density of states: 0.108 states/eV/atom
- Magnetic moment: 0.00 μB/f.u.

Cell: 7.3128 7.3108 5.9674 Å, 65.93 65.90 48.17°
Closest atoms and distances in Å follow each position.
Fractional coordinates of all 8 atoms:
1 Tl 0.0000 0.0000 0.0000  4 S 2.62
2 Hg 0.2506 0.2506 0.2494  4 S 2.61
3 Hg 0.7506 0.7506 0.7494  4 S 2.61
4 Au 0.5020 0.5020 0.4980  4 S 2.50-2.52
5 S 0.1365 0.6205 0.8635  1 Au 2.52, 2 Hg 2.61, 1 Tl 2.62
6 S 0.3795 0.8652 0.1348  1 Au 2.50, 2 Hg 2.61, 1 Tl 2.62
7 S 0.6205 0.1365 0.3795  1 Au 2.52, 2 Hg 2.61, 1 Tl 2.62
8 S 0.8652 0.3795 0.6205  1 Au 2.50, 2 Hg 2.61, 1 Tl 2.62

***

First-principles (PBE-GGA) data for Tl4Hg2AuS after structural relaxation, as listed in the Alexandria database.

Calculated values
- Uncorrected energy: -2.3046 eV per atom
- Energy relative to the elements, uncorrected: -2.8 kcal/mol of atoms
- Fermi-level density of states: 0.276 states/eV/atom
- Magnetic moment: 0.00 μB/f.u.

Cell: 7.5691 4.0653 8.2761 Å, 90.00 104.03 90.00°
Closest atoms and distances in Å follow each position.
Fractional coordinates of all 8 atoms:
1 Tl 0.2249 0.0000 0.2022  2 S 2.91, 1 Au 2.97
2 Tl 0.2539 0.5000 0.7890  1 S 2.89, 2 Au 3.01
3 Tl 0.7461 0.5000 0.2110  1 S 2.89, 2 Au 3.01
4 Tl 0.7751 0.0000 0.7978  2 S 2.91, 1 Au 2.97
5 Hg 0.0000 0.0000 0.5000  6 Tl 3.32-3.36
6 Hg 0.5000 0.5000 0.5000  6 Tl 3.37-3.47
7 Au 0.5000 0.0000 0.0000  6 Tl 2.97-3.01
8 S 0.0000 0.5000 0.0000  6 Tl 2.89-2.91

***

First-principles (PBE-GGA) data for HgSb2Au after structural relaxation, as listed in the Alexandria database.

Calculated values
- Uncorrected energy: -2.8805 eV per atom
- Energy relative to the elements, uncorrected: 1.7 kcal/mol of atoms
- Fermi-level density of states: 0.678 states/eV/atom
- Magnetic moment: 0.00 μB/f.u.

Cell: 5.1966 5.1966 5.0830 Å, 110.86 110.86 107.28°
Closest atoms and distances in Å follow each position.
Fractional coordinates of all 4 atoms:
1 Hg 0.0000 0.0000 0.0000  4 Sb 2.92, 2 Au 3.08
2 Sb 0.0000 0.5000 0.5000  2 Hg 2.92, 2 Au 2.92, 2 Sb 3.08
3 Sb 0.5000 0.0000 0.5000  2 Hg 2.92, 2 Au 2.92, 2 Sb 3.08
4 Au 0.5000 0.5000 0.0000  4 Sb 2.92, 2 Hg 3.08

***

First-principles (PBE-GGA) data for HgSb3Au2 after structural relaxation, as listed in the Alexandria database.

Calculated values
- Uncorrected energy: -3.0536 eV per atom
- Energy relative to the elements, uncorrected: 3.5 kcal/mol of atoms
- Fermi-level density of states: 0.495 states/eV/atom
- Magnetic moment: 0.00 μB/f.u.

Cell: 4.0667 6.5159 6.5159 Å, 82.17 90.00 90.00°
Closest atoms and distances in Å follow each position.
Fractional coordinates of all 6 atoms:
1 Hg 0.0000 0.0000 0.0000  3 Au 2.75-2.97
2 Sb 0.0000 0.4211 0.4211  3 Au 2.83-2.94
3 Sb 0.5000 0.4264 0.8189  3 Au 2.77-2.81
4 Sb 0.5000 0.8189 0.4264  3 Au 2.77-2.81
5 Au 0.0000 0.7203 0.7203  1 Hg 2.75, 5 Sb 2.81-2.94
6 Au 0.5000 0.2207 0.2207  4 Sb 2.77-2.83, 2 Hg 2.97